1.
GGA-PBE HfTl3Si, optimized geometry; space-group type = Pm-3m; total magnetization = 0.000 μB per cell; formation energy without anion corrections = 952 meV per atom; calculated density = 9.46 g cm⁻³; D(E_F) = 1.1270 states/eV per atom
1.0
-4.604 0.503 -2.449
-0.725 -5.180 0.299
-2.393 0.602 4.622
Tl Hf Si
3 1 1
direct
0.000 0.000 0.500
0.000 0.500 0.000
0.500 0.000 0.000
0.500 0.500 0.500
0.000 0.000 0.000



2.
GGA-PBE ScP3N, optimized geometry; space-group type = Pm-3m; total magnetization = 0.000 μB per cell; formation energy without anion corrections = 222 meV per atom; calculated density = 3.63 g cm⁻³; D(E_F) = 0.4782 states/eV per atom
1.0
4.110 0.000 0.000
0.000 4.110 0.000
0.000 0.000 4.110
P N Sc
3 1 1
direct
0.000 0.000 0.500
0.500 0.000 0.000
0.000 0.500 0.000
0.000 0.000 0.000
0.500 0.500 0.500



3.
GGA-PBE LaTm2Cd4, optimized geometry; space-group type = P4/mmm; total magnetization = 0.159 μB per cell; calculated density = 7.55 g cm⁻³; formation energy from the elements = -0.74 eV/f.u.; D(E_F) = 0.8152 states/eV per atom
1.0
5.294 0.000 0.000
0.000 5.294 0.000
0.000 0.000 7.267
Cd Tm La
4 2 1
direct
0.500 0.000 0.721
0.500 0.000 0.279
0.000 0.500 0.279
0.000 0.500 0.721
0.500 0.500 0.500
0.000 0.000 0.000
0.500 0.500 0.000



4.
GGA-PBE CaLa8Sm6, optimized geometry; space-group type = R-3; total magnetization = 0.000 μB per cell; calculated density = 6.38 g cm⁻³; formation energy from the elements = 2.14 eV/f.u.; D(E_F) = 1.5427 states/eV per atom
1.0
-6.597 -5.120 1.337
0.469 -2.746 7.985
-5.703 4.303 4.526
Sm La Ca
6 8 1
direct
0.570 0.382 0.827
0.382 0.827 0.570
0.173 0.430 0.618
0.618 0.173 0.430
0.430 0.618 0.173
0.827 0.570 0.382
0.140 0.613 0.948
0.765 0.765 0.765
0.948 0.140 0.613
0.860 0.387 0.052
0.052 0.860 0.387
0.235 0.235 0.235
0.613 0.948 0.140
0.387 0.052 0.860
0.000 0.000 0.000



5.
GGA-PBE MnSb2TeN, optimized geometry; space-group type = P4/mmm; total magnetization = 0.000 μB per cell; formation energy without anion corrections = 1359 meV per atom; calculated density = 6.39 g cm⁻³; D(E_F) = 1.0213 states/eV per atom
1.0
-3.349 3.530 0.063
-2.492 -2.425 3.404
2.484 2.294 3.453
Sb N Te Mn
2 1 1 1
direct
0.000 0.500 0.000
0.500 0.000 0.000
0.500 0.500 0.500
0.000 0.000 0.500
0.000 0.000 0.000



6.
GGA-PBE CoBi3Se, optimized geometry; space-group type = Pm-3m; total magnetization = 1.981 μB per cell; formation energy without anion corrections = 1107 meV per atom; calculated density = 7.56 g cm⁻³; D(E_F) = 1.1587 states/eV per atom
1.0
-2.643 4.128 -2.535
-4.777 -1.741 2.144
0.804 3.222 4.407
Bi Se Co
3 1 1
direct
0.500 0.000 0.000
0.000 0.000 0.500
0.000 0.500 0.000
0.000 0.000 0.000
0.500 0.500 0.500



7.
GGA-PBE Li2Mn2Pd3, optimized geometry; space-group type = C2/m; total magnetization = 8.807 μB per cell; calculated density = 6.77 g cm⁻³; formation energy from the elements = -1.15 eV/f.u.; D(E_F) = 0.3050 states/eV per atom
1.0
4.139 0.002 -1.151
-2.227 3.675 0.000
-0.207 -0.120 7.217
Pd Li Mn
3 2 2
direct
0.510 0.255 0.765
0.000 0.000 0.000
0.490 0.745 0.235
0.774 0.387 0.160
0.226 0.613 0.840
0.742 0.871 0.613
0.258 0.129 0.387



8.
GGA-PBE Zn3Ag5Sn, optimized geometry; space-group type = C2/m; total magnetization = 0.000 μB per cell; calculated density = 7.85 g cm⁻³; formation energy from the elements = 1.62 eV/f.u.; D(E_F) = 0.3264 states/eV per atom
1.0
-5.758 -1.355 0.074
-0.575 -2.492 5.334
-1.820 9.655 3.880
Zn Sn Ag
6 2 10
direct
0.720 0.720 0.876
0.000 0.000 0.500
0.000 0.000 0.000
0.646 0.646 0.510
0.354 0.354 0.490
0.280 0.280 0.124
0.964 0.964 0.743
0.036 0.036 0.257
0.490 0.490 0.722
0.449 0.005 0.652
0.510 0.510 0.278
0.551 0.995 0.348
0.674 0.326 0.000
0.756 0.756 0.123
0.995 0.551 0.348
0.244 0.244 0.877
0.326 0.674 0.000
0.005 0.449 0.652



Among the records above, which one has the highest calculated density?
HfTl3Si